(1)
This record from Alexandria describes a geometry-optimized NpInHgI6 structure. The functional is PBE.

```
NpInHgI6
1.0
7.8233 0.0000 0.0000
-3.9117 6.7752 0.0000
0.0000 0.0000 9.0860
Np In Hg I
1 1 1 6
Cartesian
0.0000 0.0000 0.0000
0.0000 4.5168 0.0000
3.9117 2.2584 4.5430
-1.0762 2.3030 1.7375
-2.4553 4.6917 7.3486
1.0762 2.3030 7.3486
-1.3791 6.5557 1.7375
2.4553 4.6917 1.7375
1.3791 6.5557 7.3486
```

Output
ΔE_f (raw), kJ/mol of atoms: -55.5
D(E_F), states/eV/atom: 0.89


(2)
This record from Alexandria describes a geometry-optimized InHg2PI structure. The functional is PBE.

```
InHg2PI
1.0
7.9519 0.0000 0.0000
0.0000 7.9519 0.0000
0.0000 0.0000 6.3557
In Hg P I
1 2 1 1
Cartesian
0.0000 0.0000 0.0000
0.0000 3.9760 3.1778
3.9760 0.0000 3.1778
3.9760 3.9760 0.0000
0.0000 0.0000 3.1778
```

Output
ΔE_f (raw), kJ/mol of atoms: 70.1
D(E_F), states/eV/atom: 0.00


(3)
This record from Alexandria describes a geometry-optimized PaInHgI6 structure. The functional is PBE.

```
PaInHgI6
1.0
8.4367 0.0000 0.0000
-4.2183 7.3064 0.0000
0.0000 0.0000 16.3364
Pa In Hg I
2 2 2 12
Cartesian
0.0000 4.8709 4.0841
4.2183 2.4355 12.2523
0.0000 4.8709 12.2523
4.2183 2.4355 4.0841
0.0000 0.0000 0.0000
0.0000 0.0000 8.1682
-1.2883 2.8221 2.3762
-2.4185 4.7796 5.7920
1.2883 2.8221 5.7920
-1.1302 7.0110 2.3762
3.0882 0.2954 10.5444
1.7999 2.5267 13.9602
2.4185 4.7796 2.3762
1.1302 7.0110 5.7920
5.3485 0.2954 13.9602
2.9300 4.4843 10.5444
6.6368 2.5267 10.5444
5.5066 4.4843 13.9602
```

Output
ΔE_f (raw), kJ/mol of atoms: -71.2


(4)
This record from Alexandria describes a geometry-optimized PaIn2Hg2I6 structure. The functional is PBE.

```
PaIn2Hg2I6
1.0
4.2097 -7.4210 0.0000
4.2097 7.4210 0.0000
-3.1755 0.0000 9.4508
Pa In Hg I
1 2 2 6
Cartesian
0.0000 0.0000 0.0000
4.2097 2.4813 0.0000
4.2097 -2.4813 0.0000
2.6220 4.6821 4.7254
2.6220 -4.6821 4.7254
1.2310 2.1633 1.7531
-0.6687 0.0000 7.7115
1.2310 -2.1633 1.7531
4.0130 2.1633 7.6977
5.9127 0.0000 1.7394
4.0130 -2.1633 7.6977
```

Output
ΔE_f (raw), kJ/mol of atoms: -58.2
D(E_F), states/eV/atom: 0.07


(5)
This record from Alexandria describes a geometry-optimized InHgPbI6 structure. The functional is PBE.

```
InHgPbI6
1.0
3.9147 -6.7739 0.0000
3.9147 6.7739 0.0000
-0.0162 0.0000 7.2610
In Hg Pb I
1 1 1 6
Cartesian
0.0000 0.0000 0.0000
3.9066 -2.2556 3.6305
3.9147 2.2603 0.0000
1.2075 -2.0795 5.4900
2.4128 -0.0160 1.7727
2.7215 -4.6733 1.7702
5.4004 -0.0160 5.4883
5.0917 -4.6733 5.4908
6.6057 -2.0795 1.7710
```

Output
ΔE_f (raw), kJ/mol of atoms: -37.9
D(E_F), states/eV/atom: 0.37


(6)
This record from Alexandria describes a geometry-optimized In2HgPb3I8 structure. The functional is PBE.

```
In2HgPb3I8
1.0
4.6830 2.7037 9.7402
-4.6830 2.7037 9.7402
0.0000 -5.4074 9.7402
In Hg Pb I
2 1 3 8
Cartesian
0.0000 0.0000 0.0000
0.0000 0.0000 11.9925
0.0000 0.0000 19.8928
0.0000 -2.7027 5.8215
-2.3406 1.3514 5.8215
2.3406 1.3514 5.8215
-2.4381 -1.4076 17.4323
0.0000 0.0000 7.7336
0.0000 -2.7908 13.6271
-2.4169 1.3954 13.6271
2.4381 -1.4076 17.4323
0.0000 2.8152 17.4323
0.0000 0.0000 23.5068
2.4169 1.3954 13.6271
```

Output
ΔE_f (raw), kJ/mol of atoms: -48.9
D(E_F), states/eV/atom: 0.00


(7)
This record from Alexandria describes a geometry-optimized In2Hg2PbI6 structure. The functional is PBE.

```
In2Hg2PbI6
1.0
6.6161 -4.3908 0.0000
6.6161 4.3908 0.0000
-4.3359 0.0000 8.5094
In Hg Pb I
2 2 1 6
Cartesian
-0.4367 0.0000 1.3658
9.3330 0.0000 7.1436
1.2440 0.0000 7.2647
7.6524 0.0000 1.2447
4.4482 0.0000 4.2547
4.3600 2.2489 1.8856
1.1642 0.0000 3.6944
4.5364 2.2489 6.6238
4.3600 -2.2489 1.8856
7.7322 0.0000 4.8150
4.5364 -2.2489 6.6238
```

Output
ΔE_f (raw), kJ/mol of atoms: -35.8


(8)
This record from Alexandria describes a geometry-optimized InHg2PdI structure. The functional is PBE.

```
InHg2PdI
1.0
5.3538 0.0000 0.0000
0.0000 5.3538 0.0000
0.0000 0.0000 5.3550
In Hg Pd I
1 2 1 1
Cartesian
0.0000 0.0000 0.0000
0.0000 2.6769 2.6775
2.6769 0.0000 2.6775
0.0000 0.0000 2.6775
2.6769 2.6769 0.0000
```

Output
ΔE_f (raw), kJ/mol of atoms: -18.9
D(E_F), states/eV/atom: 0.32


(9)
This record from Alexandria describes a geometry-optimized InHg2PtI structure. The functional is PBE.

```
InHg2PtI
1.0
5.3572 0.0000 0.0000
0.0000 5.3572 0.0000
0.0000 0.0000 5.3241
In Hg Pt I
1 2 1 1
Cartesian
0.0000 0.0000 0.0000
0.0000 2.6786 2.6620
2.6786 0.0000 2.6620
0.0000 0.0000 2.6620
2.6786 2.6786 0.0000
```

Output
ΔE_f (raw), kJ/mol of atoms: -20.5
D(E_F), states/eV/atom: 0.39


(10)
This record from Alexandria describes a geometry-optimized In2HgPtI structure. The functional is PBE.

```
In2HgPtI
1.0
5.2973 0.0000 0.0000
0.0000 5.2973 0.0000
0.0000 0.0000 5.4035
In Hg Pt I
2 1 1 1
Cartesian
0.0000 2.6486 0.0000
2.6486 0.0000 0.0000
0.0000 0.0000 2.7017
0.0000 0.0000 0.0000
2.6486 2.6486 2.7017
```

Output
ΔE_f (raw), kJ/mol of atoms: -33.7
D(E_F), states/eV/atom: 0.27


(11)
This record from Alexandria describes a geometry-optimized Rb2InHgI5 structure. The functional is PBE.

```
Rb2InHgI5
1.0
2.9063 -9.0813 0.0000
2.9063 9.0813 0.0000
0.0000 0.0000 16.7154
Rb In Hg I
4 2 2 10
Cartesian
2.9063 7.6140 8.3577
2.9063 6.5305 3.4916
2.9063 -6.5305 11.8493
2.9063 -7.6140 0.0000
2.9063 1.0280 3.6054
2.9063 -1.0280 11.9632
2.9063 4.6457 15.1127
2.9063 -4.6457 6.7550
2.9063 7.7441 12.5181
2.9063 4.1075 6.5677
2.9063 3.4032 1.5617
2.9063 1.4844 14.0878
2.9063 0.9577 9.7585
2.9063 -0.9577 1.4008
2.9063 -1.4844 5.7301
2.9063 -3.4032 9.9194
2.9063 -4.1075 14.9254
2.9063 -7.7441 4.1604
```

Output
ΔE_f (raw), kJ/mol of atoms: -80.9
D(E_F), states/eV/atom: 0.32


(12)
This record from Alexandria describes a geometry-optimized RbIn2Hg2I6 structure. The functional is PBE.

```
RbIn2Hg2I6
1.0
7.6314 -4.4378 0.0000
7.6314 4.4378 0.0000
-6.9376 0.0000 9.1386
Rb In Hg I
1 2 2 6
Cartesian
0.0000 0.0000 0.0000
-1.9481 0.0000 6.1535
10.2732 0.0000 2.9851
1.2671 0.0000 5.6961
7.0580 0.0000 3.4425
-1.9035 0.0000 3.1931
2.4841 1.7357 2.1389
2.4841 -1.7357 2.1389
5.8411 1.7357 6.9997
5.8411 -1.7357 6.9997
10.2286 0.0000 5.9455
```

Output
ΔE_f (raw), kJ/mol of atoms: -47.8
D(E_F), states/eV/atom: 0.07


- The highest ΔE_f (raw) belongs to which entry?
  InHg2PI


- Number 6 is which compound?
  In2HgPb3I8


- Which of these has the highest ΔE_f (raw)?
  InHg2PI


What did the eleventh record say?
This record from Alexandria describes a geometry-optimized Rb2InHgI5 structure. The functional is PBE.

```
Rb2InHgI5
1.0
2.9063 -9.0813 0.0000
2.9063 9.0813 0.0000
0.0000 0.0000 16.7154
Rb In Hg I
4 2 2 10
Cartesian
2.9063 7.6140 8.3577
2.9063 6.5305 3.4916
2.9063 -6.5305 11.8493
2.9063 -7.6140 0.0000
2.9063 1.0280 3.6054
2.9063 -1.0280 11.9632
2.9063 4.6457 15.1127
2.9063 -4.6457 6.7550
2.9063 7.7441 12.5181
2.9063 4.1075 6.5677
2.9063 3.4032 1.5617
2.9063 1.4844 14.0878
2.9063 0.9577 9.7585
2.9063 -0.9577 1.4008
2.9063 -1.4844 5.7301
2.9063 -3.4032 9.9194
2.9063 -4.1075 14.9254
2.9063 -7.7441 4.1604
```

Output
ΔE_f (raw), kJ/mol of atoms: -80.9
D(E_F), states/eV/atom: 0.32